NbGaTeN2 | PBE-GGA | relaxed

Results
Excess energy over the best structure of this formula in the dataset, kcal/mol of atoms: 0.00
Formation energy without anion corrections, meV per atom: 295

a = 4.065 Å, b = 4.065 Å, c = 5.872 Å
α = 90.00°, β = 90.00°, γ = 90.00°
Space group P4/mmm (No. 123)
One atom of each set of equivalent atoms:
Nb (0.000, 0.000, 0.000) x1
Ga (0.500, 0.500, 0.500) x1
Te (0.000, 0.000, 0.500) x1
N (0.000, 0.500, 0.000) x2

HoNpAs | PBE-GGA | relaxed

Results
Formation energy from the elements, eV/f.u.: -1.2

a = 6.049 Å, b = 6.103 Å, c = 8.094 Å
α = 90.00°, β = 105.04°, γ = 90.00°
Space group C2/m (No. 12)
One atom of each set of equivalent atoms:
Ho (0.250, 0.250, 0.000) x4
Np (0.136, 0.000, 0.371) x4
As (0.090, 0.500, 0.268) x4

Ir3Os | PBE-GGA | relaxed

Results
Formation energy from the elements, eV/f.u.: 2.8

a = 8.7920 Å, b = 8.7920 Å, c = 2.6952 Å
α = 90.00°, β = 90.00°, γ = 120.00°
Space group R-3m (No. 166, hexagonal axes)
One atom of each set of equivalent atoms:
Ir (0.0000, 0.5000, 0.0000) x9
Os (0.0000, 0.0000, 0.0000) x3

Li2Ac3Cd4 | PBE-GGA | relaxed

Results
Formation energy from the elements, eV/f.u.: -2.1

a = 11.739 Å, b = 5.175 Å, c = 9.785 Å
α = 90.00°, β = 117.51°, γ = 90.00°
Space group C2/m (No. 12)
One atom of each set of equivalent atoms:
Li (0.118, 0.000, 0.285) x4
Ac (0.000, 0.500, 0.000) x2
Ac (0.164, 0.000, 0.669) x4
Cd (0.061, 0.500, 0.388) x4
Cd (0.221, 0.000, 0.062) x4

Dy2CuBr | PBE-GGA | relaxed

Results
Excess energy over the best structure of this formula in the dataset, kcal/mol of atoms: 0.55
Formation energy without anion corrections, meV per atom: -599

a = 3.9366 Å, b = 3.9366 Å, c = 22.9106 Å
α = 90.00°, β = 90.00°, γ = 120.00°
Space group R3m (No. 160, hexagonal axes)
One atom of each set of equivalent atoms:
Dy (0.0000, 0.0000, 0.0000) x3
Dy (0.0000, 0.0000, 0.1962) x3
Cu (0.0000, 0.0000, 0.5975) x3
Br (0.0000, 0.0000, 0.7662) x3

TiZn2SbO6 | PBE-GGA | relaxed

Results
Formation energy without anion corrections, meV per atom: -1747

a = 5.308 Å, b = 7.868 Å, c = 5.337 Å
α = 90.00°, β = 91.05°, γ = 90.00°
Space group P2_1/m (No. 11)
One atom of each set of equivalent atoms:
Ti (0.000, 0.000, 0.000) x2
Zn (0.000, 0.250, 0.458) x2
Zn (0.484, 0.250, 0.981) x2
Sb (0.500, 0.000, 0.500) x2
O (0.118, 0.250, 0.080) x2
O (0.158, 0.567, 0.319) x4
O (0.318, 0.568, 0.832) x4
O (0.380, 0.250, 0.586) x2

YCd2Ni2 | PBE-GGA | relaxed

Results
Excess energy over the best structure of this formula in the dataset, kcal/mol of atoms: 4.03
Formation energy from the elements, eV/f.u.: 0.0

a = 7.772 Å, b = 7.772 Å, c = 3.024 Å
α = 90.00°, β = 90.00°, γ = 90.00°
Space group P4/mbm (No. 127)
One atom of each set of equivalent atoms:
Y (0.000, 0.000, 0.000) x2
Cd (0.125, 0.375, 0.000) x4
Ni (0.176, 0.676, 0.500) x4

Ba4CrPb | PBE-GGA | relaxed

Results
Formation energy from the elements, eV/f.u.: 3.6

a = 10.228 Å, b = 10.228 Å, c = 10.228 Å
α = 90.00°, β = 90.00°, γ = 90.00°
Space group F-43m (No. 216)
One atom of each set of equivalent atoms:
Ba (0.124, 0.124, 0.376) x16
Cr (0.000, 0.000, 0.000) x4
Pb (0.250, 0.250, 0.750) x4

PmTePd | PBE-GGA | relaxed

Results
Excess energy over the best structure of this formula in the dataset, kcal/mol of atoms: 0.08
Formation energy without anion corrections, meV per atom: -1066

a = 4.5613 Å, b = 4.5613 Å, c = 4.0458 Å
α = 90.00°, β = 90.00°, γ = 120.00°
Space group P3m1 (No. 156)
One atom of each set of equivalent atoms:
Pm (0.0000, 0.0000, 0.0000) x1
Te (0.6667, 0.3333, 0.5004) x1
Pd (0.3333, 0.6667, 0.4984) x1

SmHo3In | PBE-GGA | relaxed

Results
Excess energy over the best structure of this formula in the dataset, kcal/mol of atoms: 1.97
Formation energy from the elements, eV/f.u.: -0.5

a = 14.657 Å, b = 13.184 Å, c = 6.427 Å
α = 90.00°, β = 104.20°, γ = 90.00°
Space group C2/c (No. 15)
One atom of each set of equivalent atoms:
Sm (0.105, 0.064, 0.476) x8
Ho (0.097, 0.197, 0.995) x8
Ho (0.186, 0.311, 0.632) x8
Ho (0.195, 0.430, 0.130) x8
In (0.000, 0.360, 0.250) x4
In (0.000, 0.408, 0.750) x4

Cu2Te4I | PBE-GGA | relaxed

Results
Formation energy without anion corrections, meV per atom: 48

a = 7.313 Å, b = 7.506 Å, c = 8.253 Å
α = 103.30°, β = 102.39°, γ = 93.57°
Space group P1 (No. 1)
One atom of each set of equivalent atoms:
Cu (0.000, 0.000, 0.000) x1
Cu (0.068, 0.077, 0.603) x1
Cu (0.177, 0.646, 0.657) x1
Cu (0.423, 0.900, 0.944) x1
Te (0.151, 0.682, 0.970) x1
Te (0.239, 0.339, 0.484) x1
Te (0.268, 0.200, 0.922) x1
Te (0.390, 0.917, 0.628) x1
Te (0.729, 0.835, 0.120) x1
Te (0.755, 0.127, 0.418) x1
Te (0.872, 0.807, 0.678) x1
Te (0.940, 0.304, 0.187) x1
I (0.483, 0.584, 0.296) x1
I (0.644, 0.431, 0.798) x1

InTeI6 | PBE-GGA | relaxed

Results
Excess energy over the best structure of this formula in the dataset, kcal/mol of atoms: 0.84
Formation energy without anion corrections, meV per atom: -171

a = 7.628 Å, b = 7.639 Å, c = 8.215 Å
α = 62.61°, β = 62.36°, γ = 60.23°
Space group P-1 (No. 2)
One atom of each set of equivalent atoms:
In (0.000, 0.000, 0.000) x1
Te (0.500, 0.500, 0.500) x1
I (0.099, 0.408, 0.750) x2
I (0.255, 0.899, 0.250) x2
I (0.409, 0.745, 0.749) x2

What did the first record say?
NbGaTeN2 | PBE-GGA | relaxed

Results
Excess energy over the best structure of this formula in the dataset, kcal/mol of atoms: 0.00
Formation energy without anion corrections, meV per atom: 295

a = 4.065 Å, b = 4.065 Å, c = 5.872 Å
α = 90.00°, β = 90.00°, γ = 90.00°
Space group P4/mmm (No. 123)
One atom of each set of equivalent atoms:
Nb (0.000, 0.000, 0.000) x1
Ga (0.500, 0.500, 0.500) x1
Te (0.000, 0.000, 0.500) x1
N (0.000, 0.500, 0.000) x2

Repeat the first record exactly.
NbGaTeN2 | PBE-GGA | relaxed

Results
Excess energy over the best structure of this formula in the dataset, kcal/mol of atoms: 0.00
Formation energy without anion corrections, meV per atom: 295

a = 4.065 Å, b = 4.065 Å, c = 5.872 Å
α = 90.00°, β = 90.00°, γ = 90.00°
Space group P4/mmm (No. 123)
One atom of each set of equivalent atoms:
Nb (0.000, 0.000, 0.000) x1
Ga (0.500, 0.500, 0.500) x1
Te (0.000, 0.000, 0.500) x1
N (0.000, 0.500, 0.000) x2

Please write out number 2 again, unchanged.
HoNpAs | PBE-GGA | relaxed

Results
Formation energy from the elements, eV/f.u.: -1.2

a = 6.049 Å, b = 6.103 Å, c = 8.094 Å
α = 90.00°, β = 105.04°, γ = 90.00°
Space group C2/m (No. 12)
One atom of each set of equivalent atoms:
Ho (0.250, 0.250, 0.000) x4
Np (0.136, 0.000, 0.371) x4
As (0.090, 0.500, 0.268) x4